# 1
This record from the Alexandria database describes a geometry-optimized Mg3Cu4 structure. The functional is PBE.

Mass density   4.68 Mg/m³
Energy of formation from the pure elements   0.262 eV per atom

Structure (CIF):
```
data_Mg3Cu4
_cell_length_a 5.3986
_cell_length_b 5.3986
_cell_length_c 4.6002
_cell_angle_alpha 90.00
_cell_angle_beta 90.00
_cell_angle_gamma 120.00
_space_group_name_H-M_alt 'P 6/m m m'
_space_group_IT_number 191
_space_group_name_Hall '-P 6 2'
loop_
_atom_site_label
_atom_site_type_symbol
_atom_site_fract_x
_atom_site_fract_y
_atom_site_fract_z
Mg1 Mg 0.0000 0.5000 0.0000
Cu1 Cu 0.0000 0.0000 0.2515
Cu2 Cu 0.3333 0.6667 0.5000
```

---

# 2
This record from the Alexandria database describes a geometry-optimized Mg3Cu structure. The functional is PBE.

Mass density   2.90 Mg/m³
Energy of formation from the pure elements   0.030 eV per atom

Structure (CIF):
```
data_Mg3Cu
_cell_length_a 3.1101
_cell_length_b 3.1101
_cell_length_c 9.3201
_cell_angle_alpha 90.00
_cell_angle_beta 90.00
_cell_angle_gamma 120.00
_space_group_name_H-M_alt 'P -6 m 2'
_space_group_IT_number 187
_space_group_name_Hall 'P -6 2'
loop_
_atom_site_label
_atom_site_type_symbol
_atom_site_fract_x
_atom_site_fract_y
_atom_site_fract_z
Mg1 Mg 0.0000 0.0000 0.0000
Mg2 Mg 0.3333 0.6667 0.2830
Cu1 Cu 0.0000 0.0000 0.5000
```